Pm2YAg2 | GGA-PBE | optimized geometry

The structure belongs to space group P2_1/m (No. 11); the cell edges are 5.7750, 4.7557 and 10.9217 Å and the angles 90.00°, 97.48° and 90.00°. The distinct sites, in fractional coordinates, are Pm at (0.1052, 0.2500, 0.3779), Pm at (0.2539, 0.2500, 0.0455), Y at (0.4149, 0.2500, 0.7169), Ag at (0.2302, 0.7500, 0.8585) and Ag at (0.3700, 0.7500, 0.5304).

The energy relative to the lowest polymorph listed for this composition is 0.124 eV/atom. Its calculated total energy is -0.162 Ha/atom. Its total moment is 0.000 μB/atom. Its formation energy is -41 kJ/mol of formula units. Its volume is 297 Å³ per cell. The density of states at the Fermi level comes out at 1.17 states/eV/atom.

***

CaReTeI2 | GGA-PBE | optimized geometry

The structure belongs to space group P4/mmm (No. 123); the cell edges are 5.9046, 5.9046 and 6.1811 Å and the angles 90.00°, 90.00° and 90.00°. The distinct sites, in fractional coordinates, are Ca at (0.0000, 0.0000, 0.0000), Re at (0.5000, 0.5000, 0.5000), Te at (0.0000, 0.0000, 0.5000) and I at (0.0000, 0.5000, 0.0000).

The energy relative to the lowest polymorph listed for this composition is 0.557 eV/atom. Its calculated total energy is -0.125 Ha/atom. Its total moment is 0.997 μB/atom. Its volume is 216 Å³ per cell. For the formation energy from raw total energies, the calculation gives 0.742 eV per atom. The density of states at the Fermi level comes out at 0.59 states/eV/atom.

***

Sr2MgGa4Pt3 | GGA-PBE | optimized geometry

The structure belongs to space group P-4m2 (No. 115); the cell edges are 4.3018, 4.3018 and 11.2830 Å and the angles 90.00°, 90.00° and 90.00°. The distinct sites, in fractional coordinates, are Sr at (0.0000, 0.5000, 0.2402), Mg at (0.0000, 0.0000, 0.5000), Ga at (0.0000, 0.0000, 0.0000), Ga at (0.0000, 0.5000, 0.6447), Ga at (0.5000, 0.5000, 0.0000), Pt at (0.0000, 0.5000, 0.8732) and Pt at (0.5000, 0.5000, 0.5000).

Its calculated total energy is -0.157 Ha/atom. Its total moment is 0.000 μB/atom. Its formation energy is -721 kJ/mol of formula units. Its volume is 209 Å³ per cell. The density of states at the Fermi level comes out at 0.51 states/eV/atom.

***

Ho2TmSi3Pt4 | GGA-PBE | optimized geometry

The structure belongs to space group P-4m2 (No. 115); the cell edges are 4.1411, 4.1411 and 11.0236 Å and the angles 90.00°, 90.00° and 90.00°. The distinct sites, in fractional coordinates, are Ho at (0.0000, 0.5000, 0.2244), Tm at (0.0000, 0.0000, 0.5000), Si at (0.0000, 0.5000, 0.8755), Si at (0.5000, 0.5000, 0.5000), Pt at (0.0000, 0.0000, 0.0000), Pt at (0.0000, 0.5000, 0.6611) and Pt at (0.5000, 0.5000, 0.0000).

Its calculated total energy is -0.238 Ha/atom. Its total moment is 0.000 μB/atom. Its volume is 189 Å³ per cell. For the formation energy from raw total energies, the calculation gives -1.065 eV per atom. The density of states at the Fermi level comes out at 0.74 states/eV/atom.

***

HfZrSiN2 | GGA-PBE | optimized geometry

The structure belongs to space group P4/mmm (No. 123); the cell edges are 4.0606, 4.0606 and 6.1103 Å and the angles 90.00°, 90.00° and 90.00°. The distinct sites, in fractional coordinates, are Hf at (0.0000, 0.0000, 0.0000), Zr at (0.0000, 0.0000, 0.5000), Si at (0.5000, 0.5000, 0.5000) and N at (0.0000, 0.5000, 0.0000).

Its calculated total energy is -0.273 Ha/atom. Its total moment is 0.122 μB/atom. Its volume is 101 Å³ per cell. For the formation energy from raw total energies, the calculation gives 0.697 eV per atom. The density of states at the Fermi level comes out at 0.80 states/eV/atom.

***

Tb6ScS8 | GGA-PBE | optimized geometry

The structure belongs to space group Fm-3m (No. 225); the cell edges are 11.0349, 11.0349 and 11.0349 Å and the angles 90.00°, 90.00° and 90.00°. The distinct sites, in fractional coordinates, are Tb at (0.0000, 0.2500, 0.2500), Sc at (0.0000, 0.0000, 0.0000), S at (0.0000, 0.0000, 0.2421) and S at (0.2500, 0.2500, 0.2500).

Its calculated total energy is -0.240 Ha/atom. Its total moment is 0.000 μB/atom. Its volume is 1344 Å³ per cell. For the formation energy from raw total energies, the calculation gives -2.045 eV per atom. The density of states at the Fermi level comes out at 0.46 states/eV/atom.